{"formula": "KLiMoF6", "functional": "PBE+U", "state": "optimized geometry", "energy_ev_per_atom": -5.067, "sg": "No. 163", "dos_ef_per_ev_atom": 0.779, "cell": [[5.456, 0.000, 0.000], [-2.728, 4.725, 0.000], [0.000, 0.000, 11.416]], "species": ["K", "K", "Li", "Li", "Mo", "Mo", "F", "F", "F", "F", "F", "F", "F", "F", "F", "F", "F", "F"], "frac_coords": [[0.000, 0.000, 0.000], [0.000, 0.000, 0.500], [0.333, 0.667, 0.250], [0.667, 0.333, 0.750], [0.333, 0.667, 0.750], [0.667, 0.333, 0.250], [0.011, 0.377, 0.653], [0.011, 0.634, 0.847], [0.366, 0.377, 0.847], [0.366, 0.989, 0.653], [0.377, 0.011, 0.153], [0.377, 0.366, 0.347], [0.623, 0.634, 0.653], [0.623, 0.989, 0.847], [0.634, 0.011, 0.347], [0.634, 0.623, 0.153], [0.989, 0.366, 0.153], [0.989, 0.623, 0.347]]}